# 1
The following is a DFT calculation (GGA-PBE) of CaBeZnHS after structural relaxation.

```
data_CaBeZnHS
_space_group_name_H-M_alt 'C 1 m 1'
_space_group_IT_number 8
_space_group_name_Hall 'C -2y'
_cell_length_a 7.9950
_cell_length_b 3.8796
_cell_length_c 5.6696
_cell_angle_alpha 90.00
_cell_angle_beta 107.45
_cell_angle_gamma 90.00
loop_
_atom_site_label
_atom_site_fract_x
_atom_site_fract_y
_atom_site_fract_z
Ca1 0.0000 0.0000 0.0000
Be1 0.3011 0.0000 0.5666
Zn1 0.1331 0.5000 0.5771
H1 0.4737 0.0000 0.7656
S1 0.3585 0.0000 0.2358
```

Calculated values
E: -3.471 eV per atom
distance to the lowest polymorph of the same formula: 0.000 eV/atom
density of states at the Fermi level: 0.31 states/eV/f.u.
V: 84 Å³/f.u.

=====

# 2
The following is a DFT calculation (GGA-PBE) of SrPrCdHg after structural relaxation.

```
data_SrPrCdHg
_space_group_name_H-M_alt 'F -4 3 m'
_space_group_IT_number 216
_space_group_name_Hall 'F -4 2 3'
_cell_length_a 7.8729
_cell_length_b 7.8729
_cell_length_c 7.8729
_cell_angle_alpha 90.00
_cell_angle_beta 90.00
_cell_angle_gamma 90.00
loop_
_atom_site_label
_atom_site_fract_x
_atom_site_fract_y
_atom_site_fract_z
Sr1 0.0000 0.0000 0.0000
Pr1 0.0000 0.0000 0.5000
Cd1 0.2500 0.2500 0.2500
Hg1 0.2500 0.2500 0.7500
```

Calculated values
E: -2.318 eV per atom
formation enthalpy at 0 K: -0.399 eV/atom
distance to the lowest polymorph of the same formula: 0.012 eV/atom
density of states at the Fermi level: 3.25 states/eV/f.u.
V: 122 Å³/f.u.

=====

# 3
The following is a DFT calculation (GGA-PBE) of Sr2TaRh after structural relaxation.

```
data_Sr2TaRh
_space_group_name_H-M_alt 'F -4 3 m'
_space_group_IT_number 216
_space_group_name_Hall 'F -4 2 3'
_cell_length_a 7.2631
_cell_length_b 7.2631
_cell_length_c 7.2631
_cell_angle_alpha 90.00
_cell_angle_beta 90.00
_cell_angle_gamma 90.00
loop_
_atom_site_label
_atom_site_fract_x
_atom_site_fract_y
_atom_site_fract_z
Sr1 0.0000 0.0000 0.0000
Sr2 0.2500 0.2500 0.2500
Ta1 0.0000 0.0000 0.5000
Rh1 0.2500 0.2500 0.7500
```

Calculated values
E: -4.869 eV per atom
formation enthalpy at 0 K: 0.773 eV/atom
distance to the lowest polymorph of the same formula: 0.669 eV/atom
density of states at the Fermi level: 3.95 states/eV/f.u.
V: 96 Å³/f.u.

=====

# 4
The following is a DFT calculation (GGA-PBE) of ErZr3Rh6 after structural relaxation.

```
data_ErZr3Rh6
_space_group_name_H-M_alt 'P 1 21/m 1'
_space_group_IT_number 11
_space_group_name_Hall '-P 2yb'
_cell_length_a 8.0018
_cell_length_b 4.6471
_cell_length_c 9.8725
_cell_angle_alpha 90.00
_cell_angle_beta 107.63
_cell_angle_gamma 90.00
loop_
_atom_site_label
_atom_site_fract_x
_atom_site_fract_y
_atom_site_fract_z
Er1 0.0622 0.2500 0.3932
Zr1 0.2003 0.2500 0.0152
Zr2 0.3669 0.7500 0.8089
Zr3 0.4791 0.2500 0.6157
Rh1 0.0892 0.7500 0.8920
Rh2 0.1441 0.7500 0.1936
Rh3 0.1691 0.2500 0.7109
Rh4 0.2600 0.7500 0.5124
Rh5 0.3649 0.2500 0.3094
Rh6 0.4482 0.7500 0.0940
```

Calculated values
E: -8.194 eV per atom
formation enthalpy at 0 K: -0.762 eV/atom
density of states at the Fermi level: 4.85 states/eV/f.u.
V: 175 Å³/f.u.